# Sc2CdGe2Rh5

A relaxed Sc2CdGe2Rh5 crystal (GGA-PBE, the Alexandria database).

POSCAR file:
```
Sc2CdGe2Rh5
1.0
-2.0373 -1.5370 -2.5371
7.7971 -3.9280 -3.8816
-1.1115 -7.6948 5.5540
Rh Cd Ge Sc
10 2 4 4
direct
0.5000 0.9292 0.2089 Rh
0.5000 0.5708 0.7089 Rh
0.5000 0.7089 0.4292 Rh
0.5000 0.5000 0.0000 Rh
0.5000 0.7911 0.9292 Rh
0.5000 0.0708 0.7911 Rh
0.5000 0.4292 0.2911 Rh
0.5000 0.2089 0.0708 Rh
0.5000 0.2911 0.5708 Rh
0.5000 0.0000 0.5000 Rh
0.0000 0.5000 0.5000 Cd
0.0000 0.0000 0.0000 Cd
0.0000 0.3728 0.1272 Ge
0.0000 0.1272 0.6272 Ge
0.0000 0.8728 0.3728 Ge
0.0000 0.6272 0.8728 Ge
0.0000 0.8280 0.6720 Sc
0.0000 0.1720 0.3280 Sc
0.0000 0.6720 0.1720 Sc
0.0000 0.3280 0.8280 Sc
```

Properties
ΔH_f (0 K) = -708.6 meV/atom

---

# Co2SiRh

A relaxed Co2SiRh crystal (GGA-PBE, the Alexandria database).

POSCAR file:
```
Co2SiRh
1.0
3.4599 0.0000 0.0000
0.0000 3.4599 0.0000
1.7300 1.7300 8.7757
Co Si Rh
4 2 2
direct
0.8750 0.8422 0.7500 Co
0.3750 0.4078 0.7500 Co
0.1578 0.6250 0.2500 Co
0.5922 0.1250 0.2500 Co
0.5000 0.5000 0.0000 Si
0.2500 0.7500 0.5000 Si
0.0000 0.0000 0.0000 Rh
0.7500 0.2500 0.5000 Rh
```

Properties
Energy relative to the elements, uncorrected = 0.08 eV/atom

---

# TiNbO2F

A relaxed TiNbO2F crystal (GGA-PBE, the Alexandria database).

POSCAR file:
```
TiNbO2F
1.0
3.9497 0.0000 0.0000
0.0000 3.9497 0.0000
0.0000 0.0000 3.9214
Nb Ti F O
1 1 1 2
direct
0.5000 0.5000 0.5000 Nb
0.0000 0.0000 0.0000 Ti
0.0000 0.0000 0.5000 F
0.5000 0.0000 0.0000 O
0.0000 0.5000 0.0000 O
```

Properties
Energy relative to the elements, uncorrected = -1.65 eV/atom

---

# ZrTeP

A relaxed ZrTeP crystal (GGA-PBE, the Alexandria database).

POSCAR file:
```
ZrTeP
1.0
-1.7766 1.7766 5.0386
1.7766 -1.7766 5.0386
1.7766 1.7766 -5.0386
Zr P Te
1 1 1
direct
0.3615 0.3615 0.0000 Zr
0.9614 0.9614 0.0000 P
0.6771 0.6771 0.0000 Te
```

Properties
Energy relative to the elements, uncorrected = -0.68 eV/atom

---

# Nd8Si3Te4P

A relaxed Nd8Si3Te4P crystal (GGA-PBE, the Alexandria database).

POSCAR file:
```
Nd8Si3Te4P
1.0
8.6774 0.0000 0.0000
0.0000 8.8761 0.1335
-4.3387 -4.3348 6.1396
Nd Si Te P
8 3 4 1
direct
0.2592 0.2802 0.0196 Nd
0.7601 0.2797 0.5202 Nd
0.7604 0.2802 0.0196 Nd
0.2399 0.7203 0.4798 Nd
0.2396 0.7198 0.9804 Nd
0.7416 0.7243 0.4831 Nd
0.7408 0.7198 0.9804 Nd
0.2584 0.2757 0.5169 Nd
0.5000 0.5000 0.0000 Si
0.5000 0.5000 0.5000 Si
0.0000 0.5000 0.5000 Si
0.5000 0.0000 0.5000 Te
0.0000 0.0000 0.5000 Te
0.5000 0.0000 0.0000 Te
0.0000 0.0000 0.0000 Te
0.0000 0.5000 0.0000 P
```

Properties
Energy relative to the elements, uncorrected = -1.24 eV/atom

---

# Er4Cd3Ag

A relaxed Er4Cd3Ag crystal (GGA-PBE, the Alexandria database).

POSCAR file:
```
Er4Cd3Ag
1.0
3.6767 0.0000 0.0000
0.0000 3.6767 0.0000
0.0000 0.0000 14.8035
Er Cd Ag
4 3 1
direct
0.0000 0.0000 0.1184 Er
0.0000 0.0000 0.6273 Er
0.0000 0.0000 0.8816 Er
0.0000 0.0000 0.3727 Er
0.5000 0.5000 0.2476 Cd
0.5000 0.5000 0.5000 Cd
0.5000 0.5000 0.7524 Cd
0.5000 0.5000 0.0000 Ag
```

Properties
ΔH_f (0 K) = -319.3 meV/atom

---

# TbTmLuAg

A relaxed TbTmLuAg crystal (GGA-PBE, the Alexandria database).

POSCAR file:
```
TbTmLuAg
1.0
-1.8435 3.7901 -3.2441
-5.0037 -0.2325 -1.7880
-3.6174 3.4791 1.7603
Ag Lu Tb Tm
1 1 1 1
direct
0.2500 0.2500 0.2500 Ag
0.7500 0.7500 0.7500 Lu
0.5000 0.5000 0.5000 Tb
0.0000 0.0000 0.0000 Tm
```

Properties
ΔH_f (0 K) = 42.2 meV/atom

---

# Cs3Li2HoI9

A relaxed Cs3Li2HoI9 crystal (GGA-PBE, the Alexandria database).

POSCAR file:
```
Cs3Li2HoI9
1.0
-4.1221 -0.3543 -7.3686
-4.1422 -1.4053 7.2306
-2.1976 10.2638 0.7358
I Cs Li Ho
9 3 2 1
direct
0.6647 0.8323 0.3343 I
0.8323 0.1677 0.6657 I
0.5000 0.0000 0.0000 I
0.8323 0.6647 0.6657 I
0.0000 0.5000 0.0000 I
0.1677 0.8323 0.3343 I
0.5000 0.5000 0.0000 I
0.1677 0.3353 0.3343 I
0.3353 0.1677 0.6657 I
0.0000 0.0000 0.0000 Cs
0.3333 0.6667 0.6748 Cs
0.6667 0.3333 0.3252 Cs
0.3333 0.6667 0.1407 Li
0.6667 0.3333 0.8593 Li
0.0000 0.0000 0.5000 Ho
```

Properties
Energy relative to the elements, uncorrected = -1.28 eV/atom

---

# CuTe2Mo

A relaxed CuTe2Mo crystal (GGA-PBE, the Alexandria database).

POSCAR file:
```
CuTe2Mo
1.0
-6.0376 4.7523 -0.9807
-6.9121 1.6889 3.0609
7.6071 -1.4064 0.3908
Te Cu Mo
2 1 1
direct
0.2403 0.7403 0.5000 Te
0.9800 0.9800 0.0000 Te
0.4516 0.4516 0.0000 Cu
0.8281 0.3281 0.5000 Mo
```

Properties
Energy relative to the elements, uncorrected = 0.10 eV/atom

---

# HgGe2Ir2

A relaxed HgGe2Ir2 crystal (GGA-PBE, the Alexandria database).

POSCAR file:
```
HgGe2Ir2
1.0
7.5929 0.0000 0.0000
0.0000 7.5929 0.0000
0.0000 0.0000 2.9041
Ge Hg Ir
4 2 4
direct
0.8505 0.3505 0.5000 Ge
0.1495 0.6495 0.5000 Ge
0.3505 0.1495 0.5000 Ge
0.6495 0.8505 0.5000 Ge
0.0000 0.0000 0.0000 Hg
0.5000 0.5000 0.0000 Hg
0.8587 0.6413 0.0000 Ir
0.1413 0.3587 0.0000 Ir
0.3587 0.8587 0.0000 Ir
0.6413 0.1413 0.0000 Ir
```

Properties
ΔH_f (0 K) = 15.0 meV/atom

---

# TaBeSe2

A relaxed TaBeSe2 crystal (GGA-PBE, the Alexandria database).

POSCAR file:
```
TaBeSe2
1.0
4.7196 -0.0105 -0.0031
3.5340 3.1283 -0.0031
0.1851 0.0699 5.6836
Be Ta Se
1 1 2
direct
0.2096 0.2096 0.3487 Be
0.4924 0.4924 0.4499 Ta
0.0237 0.0237 0.1057 Se
0.7743 0.7743 0.5957 Se
```

Properties
Energy relative to the elements, uncorrected = -0.19 eV/atom

---

# TiCd4Au5

A relaxed TiCd4Au5 crystal (GGA-PBE, the Alexandria database).

POSCAR file:
```
TiCd4Au5
1.0
3.2513 0.0000 0.0000
0.0000 3.2513 0.0000
0.0000 0.0000 18.0454
Au Cd Ti
5 4 1
direct
0.5000 0.5000 0.5000 Au
0.5000 0.5000 0.9106 Au
0.5000 0.5000 0.0894 Au
0.5000 0.5000 0.2968 Au
0.5000 0.5000 0.7032 Au
0.0000 0.0000 0.6014 Cd
0.0000 0.0000 0.1935 Cd
0.0000 0.0000 0.8065 Cd
0.0000 0.0000 0.3986 Cd
0.0000 0.0000 0.0000 Ti
```

Properties
ΔH_f (0 K) = -225.0 meV/atom

---

# Br3O

A relaxed Br3O crystal (GGA-PBE, the Alexandria database).

POSCAR file:
```
Br3O
1.0
4.8031 -0.5352 -0.6636
2.3367 -3.7726 2.0258
1.6866 -3.6162 -2.8064
Br O
3 1
direct
0.5000 0.5000 0.5000 Br
0.2500 0.2500 0.2500 Br
0.7500 0.7500 0.7500 Br
0.0000 0.0000 0.0000 O
```

Properties
Energy relative to the elements, uncorrected = 1.22 eV/atom

---

# SrRuW2

A relaxed SrRuW2 crystal (GGA-PBE, the Alexandria database).

POSCAR file:
```
SrRuW2
1.0
-4.0545 2.5196 -1.4610
-2.3893 -4.3094 -0.8014
-6.1125 -0.8110 7.0357
Sr Ru W
2 2 4
direct
0.2500 0.7500 0.5000 Sr
0.5000 0.5000 0.0000 Sr
0.7500 0.2500 0.5000 Ru
0.0000 0.0000 0.0000 Ru
0.8750 0.1249 0.7500 W
0.8749 0.1250 0.2500 W
0.3750 0.1251 0.7500 W
0.8751 0.6250 0.2500 W
```

Properties
ΔH_f (0 K) = 1293.7 meV/atom

---

# HoTh2In3

A relaxed HoTh2In3 crystal (GGA-PBE, the Alexandria database).

POSCAR file:
```
HoTh2In3
1.0
-1.2833 -0.5000 -3.2436
2.5391 -2.3580 -0.6411
-7.9355 -9.8097 4.6519
Th In Ho
2 3 1
direct
0.5000 0.5000 0.1714 Th
0.5000 0.5000 0.8286 Th
0.0000 0.0000 0.0000 In
0.0000 0.0000 0.6574 In
0.0000 0.0000 0.3426 In
0.5000 0.5000 0.5000 Ho
```

Properties
ΔH_f (0 K) = -340.4 meV/atom

---

# SbRu4Pt

A relaxed SbRu4Pt crystal (GGA-PBE, the Alexandria database).

POSCAR file:
```
SbRu4Pt
1.0
0.0000 3.6478 3.6478
3.6478 0.0000 3.6478
3.6478 3.6478 0.0000
Ru Sb Pt
4 1 1
direct
0.8770 0.3743 0.3743 Ru
0.3743 0.8770 0.3743 Ru
0.3743 0.3743 0.3743 Ru
0.3743 0.3743 0.8770 Ru
0.7500 0.7500 0.7500 Sb
0.0000 0.0000 0.0000 Pt
```

Properties
Energy relative to the elements, uncorrected = 0.59 eV/atom

---

# ScRuN2F

A relaxed ScRuN2F crystal (GGA-PBE, the Alexandria database).

POSCAR file:
```
ScRuN2F
1.0
3.8777 0.0000 0.0000
0.0000 3.8777 0.0000
0.0000 0.0000 4.0699
F N Ru Sc
1 2 1 1
direct
0.0000 0.0000 0.5000 F
0.0000 0.5000 0.0000 N
0.5000 0.0000 0.0000 N
0.0000 0.0000 0.0000 Ru
0.5000 0.5000 0.5000 Sc
```

Properties
Energy relative to the elements, uncorrected = -0.29 eV/atom

---

# Zr2IrAu2

A relaxed Zr2IrAu2 crystal (GGA-PBE, the Alexandria database).

POSCAR file:
```
Zr2IrAu2
1.0
7.3824 0.0000 0.0000
0.0000 7.3824 0.0000
0.0000 0.0000 3.5462
Au Ir Zr
4 2 4
direct
0.1301 0.3699 0.0000 Au
0.8699 0.6301 0.0000 Au
0.3699 0.8699 0.0000 Au
0.6301 0.1301 0.0000 Au
0.0000 0.0000 0.0000 Ir
0.5000 0.5000 0.0000 Ir
0.8242 0.3242 0.5000 Zr
0.3242 0.1758 0.5000 Zr
0.6758 0.8242 0.5000 Zr
0.1758 0.6758 0.5000 Zr
```

Properties
ΔH_f (0 K) = -364.1 meV/atom

---

# SrLaSi2

A relaxed SrLaSi2 crystal (GGA-PBE, the Alexandria database).

POSCAR file:
```
SrLaSi2
1.0
3.9995 0.0000 0.0000
0.0000 4.6323 0.0092
0.0000 2.3036 5.7054
La Si Sr
1 2 1
direct
0.5000 0.7643 0.8461 La
0.0000 0.1922 0.9902 Si
0.5000 0.0618 0.2518 Si
0.0000 0.4816 0.4119 Sr
```

Properties
Energy relative to the elements, uncorrected = -0.58 eV/atom

---

# NbCo3Bi

A relaxed NbCo3Bi crystal (GGA-PBE, the Alexandria database).

POSCAR file:
```
NbCo3Bi
1.0
4.6352 0.0000 0.0000
0.0000 4.6352 0.0000
0.0000 0.0000 4.6352
Nb Co Bi
1 3 1
direct
0.5000 0.5000 0.5000 Nb
0.0000 0.5000 0.0000 Co
0.0000 0.0000 0.5000 Co
0.5000 0.0000 0.0000 Co
0.0000 0.0000 0.0000 Bi
```

Properties
ΔH_f (0 K) = 1678.5 meV/atom

---

# AcPrHgTe

A relaxed AcPrHgTe crystal (GGA-PBE, the Alexandria database).

POSCAR file:
```
AcPrHgTe
1.0
5.6329 0.0000 0.0000
2.8165 4.8783 0.0000
2.8165 1.6261 4.5993
Pr Hg Te Ac
1 1 1 1
direct
0.5000 0.5000 0.5000 Pr
0.7500 0.7500 0.7500 Hg
0.2500 0.2500 0.2500 Te
0.0000 0.0000 0.0000 Ac
```

Properties
Energy relative to the elements, uncorrected = -0.75 eV/atom

---

# CaAlIn2

A relaxed CaAlIn2 crystal (GGA-PBE, the Alexandria database).

POSCAR file:
```
CaAlIn2
1.0
10.2651 0.0908 0.0536
9.6398 3.5291 0.0536
9.6398 1.7531 3.0634
Ca In Al
1 2 1
direct
0.7528 0.7528 0.7528 Ca
0.2466 0.2466 0.2466 In
0.9988 0.9988 0.9988 In
0.5017 0.5017 0.5017 Al
```

Properties
ΔH_f (0 K) = 23.9 meV/atom

---

# Sc3In2

A relaxed Sc3In2 crystal (GGA-PBE, the Alexandria database).

POSCAR file:
```
Sc3In2
1.0
-1.1370 0.5724 -4.7891
-4.5785 -1.0188 -1.5985
-3.3818 4.9764 -1.1659
In Sc
2 3
direct
0.4080 0.4080 0.7761 In
0.5920 0.5920 0.2239 In
0.2072 0.2072 0.3783 Sc
0.7928 0.7928 0.6217 Sc
0.0000 0.0000 0.0000 Sc
```

Properties
ΔH_f (0 K) = -370.7 meV/atom

---

# AuBr2O

A relaxed AuBr2O crystal (GGA-PBE, the Alexandria database).

POSCAR file:
```
AuBr2O
1.0
1.8457 -4.1130 1.3443
-0.4099 -1.4139 4.4680
-2.8234 -3.6055 1.0765
Br Au O
2 1 1
direct
0.7500 0.7500 0.7500 Br
0.2500 0.2500 0.2500 Br
0.5000 0.5000 0.5000 Au
0.0000 0.0000 0.0000 O
```

Properties
Energy relative to the elements, uncorrected = 0.94 eV/atom

---

# NpS2IO8

A relaxed NpS2IO8 crystal (GGA-PBE, the Alexandria database).

POSCAR file:
```
NpS2IO8
1.0
-3.6890 -0.3439 4.5333
4.9101 -3.1888 -0.0270
3.7259 5.7078 3.4650
O S Np I
8 2 1 1
direct
0.3918 0.1959 0.1357 O
0.6667 0.3333 0.3979 O
0.8041 0.1959 0.1357 O
0.6082 0.8041 0.8643 O
0.8041 0.6082 0.1357 O
0.3333 0.6667 0.6021 O
0.1959 0.3918 0.8643 O
0.1959 0.8041 0.8643 O
0.3333 0.6667 0.7893 S
0.6667 0.3333 0.2107 S
0.0000 0.0000 0.0000 Np
0.0000 0.0000 0.5000 I
```

Properties
Energy relative to the elements, uncorrected = -1.48 eV/atom

---

Theoretical density for every record listed, in sequence, given in Mg/m³: 8.72; 7.87; 5.21; 6.52; 6.18; 9.24; 9.53; 4.39; 7.13; 14.49; 6.87; 12.90; 5.17; 8.56; 9.68; 12.33; 5.24; 13.21; 4.44; 7.98; 9.15; 4.63; 5.25; 8.41; 4.07.